Below is a relaxed NaSb2TeAu crystal, with properties calculated at the GGA-PBE level.

It has space group P4/mmm (No. 123), with a = 5.372 Å, b = 5.372 Å, c = 5.343 Å, α = 90.00°, β = 90.00° and γ = 90.00°. The asymmetric unit holds Na at (0.000, 0.000, 0.000), Sb at (0.000, 0.500, 0.000), Te at (0.000, 0.000, 0.500) and Au at (0.500, 0.500, 0.500).

For the energy relative to the lowest polymorph listed for this composition, the calculation gives 0.6446 eV per atom. The energy relative to the elements, uncorrected is 0.8700 eV per atom. The calculated total energy is -11.6 eV/cell.


Below is a relaxed LiNd5Tl8 crystal, with properties calculated at the GGA-PBE level.

It has space group I-4 (No. 82), with a = 9.449 Å, b = 9.449 Å, c = 9.238 Å, α = 90.00°, β = 90.00° and γ = 90.00°. The asymmetric unit holds Li at (0.000, 0.000, 0.000), Nd at (0.000, 0.500, 0.750), Nd at (0.113, 0.751, 0.391), Tl at (0.074, 0.838, 0.737) and Tl at (0.079, 0.691, 0.049).

The calculated total energy is -97.1 eV/cell.


Below is a relaxed La4Pm3HoTe8 crystal, with properties calculated at the GGA-PBE level.

It has space group R-3m (No. 166, hexagonal axes), with a = 9.0354 Å, b = 9.0354 Å, c = 21.9966 Å, α = 90.00°, β = 90.00° and γ = 120.00°. The asymmetric unit holds La at (0.0000, 0.0000, 0.0000), La at (0.0000, 0.5000, 0.0000), Pm at (0.0000, 0.5000, 0.5000), Ho at (0.0000, 0.0000, 0.5000), Te at (0.0000, 0.0000, 0.2476) and Te at (0.0055, 0.5027, 0.2462).

The energy relative to the elements, uncorrected is -1.4811 eV per atom. The calculated total energy is -262.1 eV/cell.


Below is a relaxed PaSn2Se crystal, with properties calculated at the GGA-PBE level.

It has space group P4/mmm (No. 123), with a = 4.127 Å, b = 4.127 Å, c = 5.698 Å, α = 90.00°, β = 90.00° and γ = 90.00°. The asymmetric unit holds Pa at (0.000, 0.000, 0.000), Sn at (0.000, 0.500, 0.500) and Se at (0.500, 0.500, 0.000).

The energy relative to the elements, uncorrected is -0.5239 eV per atom. The calculated total energy is -23.1 eV/cell.


Below is a relaxed Ac6PdPb2 crystal, with properties calculated at the GGA-PBE level.

It has space group P2_1/c (No. 14), with a = 7.121 Å, b = 9.028 Å, c = 13.005 Å, α = 90.00°, β = 122.26° and γ = 90.00°. The asymmetric unit holds Ac at (0.076, 0.182, 0.446), Ac at (0.320, 0.680, 0.447), Ac at (0.369, 0.029, 0.242), Pd at (0.500, 0.000, 0.500) and Pb at (0.166, 0.120, 0.749).

The calculated total energy is -81.8 eV/cell.


Below is a relaxed Tm3GaPd12 crystal, with properties calculated at the GGA-PBE level.

It has space group P4/mmm (No. 123), with a = 4.077 Å, b = 4.077 Å, c = 16.007 Å, α = 90.00°, β = 90.00° and γ = 90.00°. The asymmetric unit holds Tm at (0.000, 0.000, 0.000), Tm at (0.000, 0.000, 0.256), Ga at (0.000, 0.000, 0.500), Pd at (0.000, 0.500, 0.128), Pd at (0.000, 0.500, 0.385), Pd at (0.500, 0.500, 0.000), Pd at (0.500, 0.500, 0.257) and Pd at (0.500, 0.500, 0.500).

The calculated total energy is -91.5 eV/cell.


Below is a relaxed KMnSbTe3 crystal, with properties calculated at the GGA-PBE level.

It has space group P2_1/m (No. 11), with a = 9.875 Å, b = 4.487 Å, c = 10.355 Å, α = 90.00°, β = 106.22° and γ = 90.00°. The asymmetric unit holds K at (0.192, 0.250, 0.237), Mn at (0.083, 0.250, 0.604), Sb at (0.336, 0.750, 0.868), Te at (0.120, 0.250, 0.873), Te at (0.206, 0.750, 0.525) and Te at (0.452, 0.750, 0.159).

The energy relative to the elements, uncorrected is -0.3962 eV per atom. The calculated total energy is -52.4 eV/cell.


Below is a relaxed AlPtBr4 crystal, with properties calculated at the GGA-PBE level.

It has space group F-43m (No. 216), with a = 8.705 Å, b = 8.705 Å, c = 8.705 Å, α = 90.00°, β = 90.00° and γ = 90.00°. The asymmetric unit holds Al at (0.000, 0.000, 0.000), Pt at (0.250, 0.250, 0.250) and Br at (0.124, 0.124, 0.624).

The energy relative to the elements, uncorrected is 1.0319 eV per atom. The calculated total energy is -41.1 eV/cell.


What is the formula in the fourth record? PaSn2Se